## i
# AlCoPO

A relaxed structure of AlCoPO (PBE with a Hubbard U, the Open Quantum Materials Database).

Geometry as POSCAR:
```
AlCoPO
1.0
3.945 0.000 0.000
0.000 3.945 0.000
0.000 0.000 8.445
Al Co P O
2 2 2 2
direct
0.250 0.750 0.000
0.750 0.250 0.000
0.250 0.250 0.449
0.750 0.750 0.551
0.250 0.250 0.164
0.750 0.750 0.836
0.250 0.750 0.500
0.750 0.250 0.500
```

M_tot = 5.7 Bohr magnetons per cell
density = 3.4 g cm⁻³
symmetry = P4/nmm, No. 129

***

## ii
# AlCoPO

A relaxed structure of AlCoPO (PBE with a Hubbard U, the Open Quantum Materials Database).

Geometry as POSCAR:
```
AlCoPO
1.0
3.502 0.000 0.000
0.000 3.502 0.000
0.000 0.000 7.733
Al Co P O
2 2 2 2
direct
0.250 0.250 0.105
0.750 0.750 0.895
0.250 0.750 0.500
0.750 0.250 0.500
0.250 0.250 0.664
0.750 0.750 0.336
0.250 0.750 0.000
0.750 0.250 0.000
```

M_tot = 0.0 Bohr magnetons per cell
density = 4.7 g cm⁻³
symmetry = P4/nmm, No. 129

***

Top of the stability list: ii, leading by 0.369 eV/atom.

***

## i
# AlCoPO

A relaxed structure of AlCoPO (PBE with a Hubbard U, the Open Quantum Materials Database).

Geometry as POSCAR:
```
AlCoPO
1.0
3.093 0.000 0.000
0.000 6.223 0.000
0.000 0.000 6.033
Al Co P O
2 2 2 2
direct
0.000 0.194 0.000
0.000 0.806 0.500
0.500 0.365 0.566
0.500 0.635 0.066
0.000 0.171 0.391
0.000 0.829 0.891
0.500 0.322 0.918
0.500 0.678 0.418
```

M_tot = 4.3 Bohr magnetons per cell
density = 3.8 g cm⁻³
symmetry = Pmc2_1, No. 26

***

## ii
# AlCoPO

A relaxed structure of AlCoPO (PBE with a Hubbard U, the Open Quantum Materials Database).

Geometry as POSCAR:
```
AlCoPO
1.0
3.788 0.000 0.000
0.000 5.991 0.000
0.000 0.000 5.366
Al Co P O
2 2 2 2
direct
0.000 0.137 0.000
0.000 0.863 0.500
0.500 0.292 0.422
0.500 0.708 0.922
0.500 0.320 0.861
0.500 0.680 0.361
0.000 0.130 0.338
0.000 0.870 0.838
```

M_tot = 6.0 Bohr magnetons per cell
density = 3.6 g cm⁻³
symmetry = Pmc2_1, No. 26

***

Top of the stability list: ii, leading by 0.027 eV/atom.